(1)
Compound: Ac3Mg2Si4
Source: Alexandria via LeMat-Bulk
Functional: PBE
Structure: relaxed

Computed properties:
M_tot: 0.0 Bohr magnetons per cell
symmetry: C2/m
ΔE_f (raw): -0.48 eV/atom
final energy: -41.52 eV/cell

```
data_Ac3Mg2Si4
_cell_length_a 6.5892
_cell_length_b 6.5892
_cell_length_c 9.0633
_cell_angle_alpha 109.90
_cell_angle_beta 109.90
_cell_angle_gamma 39.10
_symmetry_space_group_name_H-M 'P 1'
_symmetry_Int_Tables_number 1
_symmetry_space_group_name_Hall 'P 1'
loop_
_atom_site_label
_atom_site_type_symbol
_atom_site_fract_x
_atom_site_fract_y
_atom_site_fract_z
Ac1 Ac 0.0000 0.0000 0.0000
Ac2 Ac 0.3891 0.3891 0.3126
Ac3 Ac 0.6109 0.6109 0.6874
Mg1 Mg 0.3082 0.3082 0.6560
Mg2 Mg 0.6918 0.6918 0.3440
Si1 Si 0.0959 0.0959 0.3931
Si2 Si 0.2710 0.2710 0.9465
Si3 Si 0.7290 0.7290 0.0535
Si4 Si 0.9041 0.9041 0.6069
```



(2)
Compound: LiCrIN2
Source: Alexandria via LeMat-Bulk
Functional: PBE
Structure: relaxed

Computed properties:
M_tot: 0.2 Bohr magnetons per cell
symmetry: P4/mmm
ΔE_f (raw): 0.18 eV/atom
final energy: -28.86 eV/cell
ΔE to the lowest computed polymorph: 0.000 eV per atom

```
data_LiCrIN2
_cell_length_a 3.7138
_cell_length_b 3.7138
_cell_length_c 5.7700
_cell_angle_alpha 90.00
_cell_angle_beta 90.00
_cell_angle_gamma 90.00
_symmetry_space_group_name_H-M 'P 1'
_symmetry_Int_Tables_number 1
_symmetry_space_group_name_Hall 'P 1'
loop_
_atom_site_label
_atom_site_type_symbol
_atom_site_fract_x
_atom_site_fract_y
_atom_site_fract_z
Li1 Li 0.0000 0.0000 0.0000
Cr1 Cr 0.5000 0.5000 0.5000
I1 I 0.5000 0.5000 0.0000
N1 N 0.0000 0.5000 0.5000
N2 N 0.5000 0.0000 0.5000
```



(3)
Compound: CsH2Pb4
Source: Alexandria via LeMat-Bulk
Functional: PBE
Structure: relaxed

Computed properties:
M_tot: 0.0 Bohr magnetons per cell
symmetry: I4/mmm
final energy: -34.66 eV/cell

```
data_CsH2Pb4
_cell_length_a 6.4315
_cell_length_b 6.4315
_cell_length_c 12.2548
_cell_angle_alpha 90.00
_cell_angle_beta 90.00
_cell_angle_gamma 90.00
_symmetry_space_group_name_H-M 'P 1'
_symmetry_Int_Tables_number 1
_symmetry_space_group_name_Hall 'P 1'
loop_
_atom_site_label
_atom_site_type_symbol
_atom_site_fract_x
_atom_site_fract_y
_atom_site_fract_z
Cs1 Cs 0.0000 0.0000 0.0000
Cs2 Cs 0.5000 0.5000 0.5000
H1 H 0.0000 0.0000 0.4651
H2 H 0.0000 0.0000 0.5349
H3 H 0.5000 0.5000 0.0349
H4 H 0.5000 0.5000 0.9651
Pb1 Pb 0.0000 0.0000 0.3017
Pb2 Pb 0.0000 0.0000 0.6983
Pb3 Pb 0.0000 0.5000 0.0000
Pb4 Pb 0.0000 0.5000 0.5000
Pb5 Pb 0.5000 0.0000 0.0000
Pb6 Pb 0.5000 0.0000 0.5000
Pb7 Pb 0.5000 0.5000 0.1983
Pb8 Pb 0.5000 0.5000 0.8017
```



(4)
Compound: Th2GaSi4Rh3
Source: Alexandria via LeMat-Bulk
Functional: PBE
Structure: relaxed

Computed properties:
M_tot: 0.0 Bohr magnetons per cell
symmetry: P-4m2
ΔE_f (raw): -0.94 eV/atom
final energy: -71.00 eV/cell

```
data_Th2GaSi4Rh3
_cell_length_a 4.1971
_cell_length_b 4.1971
_cell_length_c 10.0418
_cell_angle_alpha 90.00
_cell_angle_beta 90.00
_cell_angle_gamma 90.00
_symmetry_space_group_name_H-M 'P 1'
_symmetry_Int_Tables_number 1
_symmetry_space_group_name_Hall 'P 1'
loop_
_atom_site_label
_atom_site_type_symbol
_atom_site_fract_x
_atom_site_fract_y
_atom_site_fract_z
Th1 Th 0.0000 0.5000 0.2433
Th2 Th 0.5000 0.0000 0.7567
Ga1 Ga 0.0000 0.0000 0.5000
Si1 Si 0.0000 0.0000 0.0000
Si2 Si 0.0000 0.5000 0.6406
Si3 Si 0.5000 0.0000 0.3594
Si4 Si 0.5000 0.5000 0.0000
Rh1 Rh 0.0000 0.5000 0.8786
Rh2 Rh 0.5000 0.0000 0.1214
Rh3 Rh 0.5000 0.5000 0.5000
```



> Number 1 is which compound?

Ac3Mg2Si4



Copy entry 4 word for word.
Compound: Th2GaSi4Rh3
Source: Alexandria via LeMat-Bulk
Functional: PBE
Structure: relaxed

Computed properties:
M_tot: 0.0 Bohr magnetons per cell
symmetry: P-4m2
ΔE_f (raw): -0.94 eV/atom
final energy: -71.00 eV/cell

```
data_Th2GaSi4Rh3
_cell_length_a 4.1971
_cell_length_b 4.1971
_cell_length_c 10.0418
_cell_angle_alpha 90.00
_cell_angle_beta 90.00
_cell_angle_gamma 90.00
_symmetry_space_group_name_H-M 'P 1'
_symmetry_Int_Tables_number 1
_symmetry_space_group_name_Hall 'P 1'
loop_
_atom_site_label
_atom_site_type_symbol
_atom_site_fract_x
_atom_site_fract_y
_atom_site_fract_z
Th1 Th 0.0000 0.5000 0.2433
Th2 Th 0.5000 0.0000 0.7567
Ga1 Ga 0.0000 0.0000 0.5000
Si1 Si 0.0000 0.0000 0.0000
Si2 Si 0.0000 0.5000 0.6406
Si3 Si 0.5000 0.0000 0.3594
Si4 Si 0.5000 0.5000 0.0000
Rh1 Rh 0.0000 0.5000 0.8786
Rh2 Rh 0.5000 0.0000 0.1214
Rh3 Rh 0.5000 0.5000 0.5000
```